[1]
A relaxed structure of Nd6Dy2Ho3Tl, computed with PBE-GGA.

It has space group C2/m (No. 12), with a = 6.2028 Å, b = 10.7767 Å, c = 11.8182 Å, α = 90.00°, β = 100.23° and γ = 90.00°. Symmetry generates all atoms from Nd at (0.2451, 0.0000, 0.2496), Nd at (0.2468, 0.1642, 0.7489), Dy at (0.0000, 0.3339, 0.5000), Ho at (0.0000, 0.1676, 0.0000), Ho at (0.0000, 0.5000, 0.0000) and Tl at (0.0000, 0.0000, 0.5000).



[2]
A relaxed structure of Nd3Dy2Ho6Tl, computed with PBE-GGA.

It has space group C2/m (No. 12), with a = 6.1405 Å, b = 10.6372 Å, c = 11.6740 Å, α = 90.00°, β = 100.13° and γ = 90.00°. Symmetry generates all atoms from Nd at (0.0000, 0.0000, 0.0000), Nd at (0.0000, 0.3331, 0.0000), Dy at (0.0000, 0.1663, 0.5000), Ho at (0.2449, 0.3357, 0.7438), Ho at (0.2478, 0.5000, 0.2553) and Tl at (0.0000, 0.5000, 0.5000).



[3]
A relaxed structure of Nd2Dy2Ho2Tm, computed with PBE-GGA.

It has space group C2/m (No. 12), with a = 11.7031 Å, b = 3.5129 Å, c = 11.7990 Å, α = 90.00°, β = 109.10° and γ = 90.00°. Symmetry generates all atoms from Nd at (0.1719, 0.0000, 0.0859), Dy at (0.2272, 0.5000, 0.3647), Ho at (0.0497, 0.0000, 0.7685) and Tm at (0.0000, 0.5000, 0.5000).



[4]
A relaxed structure of Nd3Dy6HoTm2, computed with PBE-GGA.

It has space group C2/m (No. 12), with a = 6.1807 Å, b = 10.7008 Å, c = 11.8068 Å, α = 90.00°, β = 100.03° and γ = 90.00°. Symmetry generates all atoms from Nd at (0.0000, 0.0000, 0.0000), Nd at (0.0000, 0.3331, 0.0000), Dy at (0.2485, 0.0000, 0.7451), Dy at (0.2488, 0.3332, 0.7450), Ho at (0.0000, 0.5000, 0.5000) and Tm at (0.0000, 0.1666, 0.5000).



[5]
A relaxed structure of NdDyHo5Tm2, computed with PBE-GGA.

It has space group Cmc2_1 (No. 36), with a = 5.5730 Å, b = 19.7443 Å, c = 10.4885 Å, α = 90.00°, β = 90.00° and γ = 90.00°. Symmetry generates all atoms from Nd at (0.0000, 0.0841, 0.0000), Dy at (0.0000, 0.3006, 0.5621), Ho at (0.0000, 0.0219, 0.2864), Ho at (0.0000, 0.1118, 0.5729), Ho at (0.0000, 0.2014, 0.2591), Ho at (0.0000, 0.2191, 0.8620), Ho at (0.0000, 0.4825, 0.5742), Tm at (0.0000, 0.3865, 0.8684) and Tm at (0.0000, 0.3891, 0.2852).



[6]
A relaxed structure of Nd2DyHoTm, computed with PBE-GGA.

It has space group Cmcm (No. 63), with a = 8.4365 Å, b = 11.4800 Å, c = 7.2866 Å, α = 90.00°, β = 90.00° and γ = 90.00°. Symmetry generates all atoms from Nd at (0.1947, 0.0000, 0.0000), Dy at (0.0000, 0.2262, 0.2500), Ho at (0.0000, 0.2283, 0.7500) and Tm at (0.0000, 0.4978, 0.2500).



[7]
A relaxed structure of NdDy2HoTm, computed with PBE-GGA.

It has space group Cmcm (No. 63), with a = 8.3761 Å, b = 11.4384 Å, c = 7.1915 Å, α = 90.00°, β = 90.00° and γ = 90.00°. Symmetry generates all atoms from Nd at (0.0000, 0.2285, 0.2500), Dy at (0.1904, 0.0000, 0.0000), Ho at (0.0000, 0.4998, 0.2500) and Tm at (0.0000, 0.2219, 0.7500).



[8]
A relaxed structure of Nd4Dy2Ho2Tm, computed with PBE-GGA.

It has space group C2/m (No. 12), with a = 15.2686 Å, b = 5.0835 Å, c = 8.0272 Å, α = 90.00°, β = 108.51° and γ = 90.00°. Symmetry generates all atoms from Nd at (0.0541, 0.0000, 0.3308), Nd at (0.2225, 0.5000, 0.3315), Dy at (0.1114, 0.5000, 0.6704), Ho at (0.1668, 0.0000, 0.9997) and Tm at (0.0000, 0.5000, 0.0000).



[9]
A relaxed structure of NdDy2Ho4Tm, computed with PBE-GGA.

It has space group Imma (No. 74), with a = 6.7671 Å, b = 11.7172 Å, c = 13.2349 Å, α = 90.00°, β = 90.00° and γ = 90.00°. Symmetry generates all atoms from Nd at (0.0000, 0.0000, 0.0000), Dy at (0.0000, 0.0000, 0.5000), Dy at (0.2500, 0.2500, 0.2500), Ho at (0.0000, 0.0016, 0.7488), Ho at (0.2487, 0.2500, 0.5019) and Tm at (0.2500, 0.2500, 0.7500).



[10]
A relaxed structure of NdDy2Ho6Tm3, computed with PBE-GGA.

It has space group C2/m (No. 12), with a = 6.1172 Å, b = 10.5819 Å, c = 11.6986 Å, α = 90.00°, β = 100.00° and γ = 90.00°. Symmetry generates all atoms from Nd at (0.0000, 0.0000, 0.0000), Dy at (0.0000, 0.3333, 0.0000), Ho at (0.2482, 0.3331, 0.7470), Ho at (0.2492, 0.0000, 0.7471), Tm at (0.0000, 0.1669, 0.5000) and Tm at (0.0000, 0.5000, 0.5000).



[11]
A relaxed structure of Nd6Dy2HoTm, computed with PBE-GGA.

It has space group C2/c (No. 15), with a = 9.2503 Å, b = 15.3389 Å, c = 9.6313 Å, α = 90.00°, β = 97.43° and γ = 90.00°. Symmetry generates all atoms from Nd at (0.0595, 0.1776, 0.4461), Nd at (0.0996, 0.3912, 0.6175), Nd at (0.2134, 0.2218, 0.8110), Dy at (0.2498, 0.0489, 0.0457), Ho at (0.0000, 0.0269, 0.7500) and Tm at (0.0000, 0.4117, 0.2500).



[12]
A relaxed structure of NdDyHo2Tm5, computed with PBE-GGA.

It has space group Cmc2_1 (No. 36), with a = 5.5518 Å, b = 19.6099 Å, c = 10.4946 Å, α = 90.00°, β = 90.00° and γ = 90.00°. Symmetry generates all atoms from Nd at (0.0000, 0.0832, 0.0000), Dy at (0.0000, 0.2995, 0.5596), Ho at (0.0000, 0.3871, 0.8664), Ho at (0.0000, 0.3893, 0.2822), Tm at (0.0000, 0.0214, 0.2836), Tm at (0.0000, 0.1117, 0.5694), Tm at (0.0000, 0.2012, 0.2580), Tm at (0.0000, 0.2185, 0.8588) and Tm at (0.0000, 0.4819, 0.5732).



[13]
A relaxed structure of NdDy6HoTm2, computed with PBE-GGA.

It has space group C2/c (No. 15), with a = 9.1001 Å, b = 14.9543 Å, c = 9.4566 Å, α = 90.00°, β = 96.39° and γ = 90.00°. Symmetry generates all atoms from Nd at (0.0000, 0.0280, 0.2500), Dy at (0.0626, 0.1838, 0.9435), Dy at (0.0981, 0.3901, 0.1174), Dy at (0.2112, 0.2264, 0.3178), Ho at (0.0000, 0.4101, 0.7500) and Tm at (0.2473, 0.4477, 0.4521).



[14]
A relaxed structure of NdDy6Ho2Tm3, computed with PBE-GGA.

It has space group C2/m (No. 12), with a = 6.1258 Å, b = 10.5987 Å, c = 11.7177 Å, α = 90.00°, β = 99.99° and γ = 90.00°. Symmetry generates all atoms from Nd at (0.0000, 0.0000, 0.0000), Dy at (0.2480, 0.3330, 0.7473), Dy at (0.2491, 0.0000, 0.7474), Ho at (0.0000, 0.3333, 0.0000), Tm at (0.0000, 0.1670, 0.5000) and Tm at (0.0000, 0.5000, 0.5000).



[15]
A relaxed structure of Nd3DyHoTm, computed with PBE-GGA.

It has space group Cmcm (No. 63), with a = 5.0792 Å, b = 15.2959 Å, c = 10.1856 Å, α = 90.00°, β = 90.00° and γ = 90.00°. Symmetry generates all atoms from Nd at (0.0000, 0.1653, 0.0002), Nd at (0.0000, 0.3337, 0.2500), Dy at (0.0000, 0.5000, 0.0000), Ho at (0.0000, 0.0016, 0.2500) and Tm at (0.0000, 0.3351, 0.7500).



[16]
A relaxed structure of NdDyHo2Tm, computed with PBE-GGA.

It has space group Cmcm (No. 63), with a = 8.3661 Å, b = 11.4226 Å, c = 7.1876 Å, α = 90.00°, β = 90.00° and γ = 90.00°. Symmetry generates all atoms from Nd at (0.0000, 0.2283, 0.2500), Dy at (0.0000, 0.4997, 0.2500), Ho at (0.1897, 0.0000, 0.0000) and Tm at (0.0000, 0.2211, 0.7500).



[17]
A relaxed structure of NdDyHo3Tm, computed with PBE-GGA.

It has space group Cmcm (No. 63), with a = 5.0122 Å, b = 15.0415 Å, c = 10.0420 Å, α = 90.00°, β = 90.00° and γ = 90.00°. Symmetry generates all atoms from Nd at (0.0000, 0.0002, 0.2500), Dy at (0.0000, 0.5000, 0.0000), Ho at (0.0000, 0.1675, 0.9999), Ho at (0.0000, 0.3318, 0.2500) and Tm at (0.0000, 0.3320, 0.7500).



[18]
A relaxed structure of Nd2DyHoTm2, computed with PBE-GGA.

It has space group Pmma (No. 51), with a = 6.9907 Å, b = 5.6353 Å, c = 9.7546 Å, α = 90.00°, β = 90.00° and γ = 90.00°. Symmetry generates all atoms from Nd at (0.0000, 0.0000, 0.0000), Nd at (0.2500, 0.5000, 0.1768), Dy at (0.2500, 0.0000, 0.6596), Ho at (0.0000, 0.5000, 0.5000), Tm at (0.2500, 0.0000, 0.3327) and Tm at (0.2500, 0.5000, 0.8361).



[19]
A relaxed structure of Nd3Dy6Ho2Tm, computed with PBE-GGA.

It has space group C2/m (No. 12), with a = 6.1861 Å, b = 10.7102 Å, c = 11.8137 Å, α = 90.00°, β = 100.03° and γ = 90.00°. Symmetry generates all atoms from Nd at (0.0000, 0.0000, 0.0000), Nd at (0.0000, 0.3333, 0.0000), Dy at (0.2485, 0.3335, 0.7455), Dy at (0.2490, 0.0000, 0.7455), Ho at (0.0000, 0.1666, 0.5000) and Tm at (0.0000, 0.5000, 0.5000).



| no. | raw total energy (eV per atom) | ΔE_f (meV/atom) | volume (Å³/cell) |
| --- | --- | --- | --- |
| 1 | -4.504 | -11 | 777.4 |
| 2 | -4.457 | -12 | 750.6 |
| 3 | -4.538 | 86 | 458.4 |
| 4 | -4.600 | 20 | 769.0 |
| 5 | -4.413 | 165 | 1154.1 |
| 6 | -4.221 | 417 | 705.7 |
| 7 | -4.214 | 390 | 689.0 |
| 8 | -4.634 | 22 | 590.8 |
| 9 | -4.154 | 440 | 1049.4 |
| 10 | -4.550 | 21 | 745.8 |
| 11 | -4.570 | 116 | 1355.1 |
| 12 | -4.378 | 164 | 1142.5 |
| 13 | -4.469 | 121 | 1278.9 |
| 14 | -4.559 | 20 | 749.2 |
| 15 | -4.638 | 21 | 791.3 |
| 16 | -4.209 | 390 | 686.9 |
| 17 | -4.573 | 22 | 757.1 |
| 18 | -4.540 | 70 | 384.3 |
| 19 | -4.609 | 19 | 770.8 |